(1)
Compound: MnZnIr3
Source: Alexandria via LeMat-Bulk
Functional: GGA-PBE
Structure: relaxed

a = 4.4623 Å, b = 4.4623 Å, c = 4.4623 Å
α = 90.00°, β = 90.00°, γ = 90.00°
Each line ends with the local moment (μB).
Positions (direct):
Zn1 0.0000 0.0000 0.0000  -0.01
Ir1 0.0000 0.5000 0.0000  0.17
Ir2 0.0000 0.0000 0.5000  0.24
Ir3 0.5000 0.0000 0.0000  0.07
Mn1 0.5000 0.5000 0.5000  -0.18

Values from the calculation:
As for the formation energy from the elements: 1.880 eV per atom. Its total magnetic moment is 0.26 μB per formula unit. For the offset from the most stable computed form, the calculation gives 622.1 meV/atom. The density of states at the Fermi level comes out at 8.48 states/eV per cell.

***

(2)
Compound: MnZnIr
Source: Alexandria via LeMat-Bulk
Functional: GGA-PBE
Structure: relaxed

a = 4.6760 Å, b = 4.6760 Å, c = 4.6760 Å
α = 144.43°, β = 134.32°, γ = 59.20°
Each line ends with the local moment (μB).
Positions (direct):
Ir1 0.9966 0.9966 0.0000  0.14
Mn1 0.3379 0.3379 0.0000  3.31
Zn1 0.6655 0.6655 0.0000  -0.03

Values from the calculation:
As for the formation energy from the elements: -0.125 eV per atom. Its total magnetic moment is 3.55 μB per formula unit. The density of states at the Fermi level comes out at 2.63 states/eV per cell.

***

(3)
Compound: MnZn8Ir2
Source: Alexandria via LeMat-Bulk
Functional: GGA-PBE
Structure: relaxed

a = 5.1310 Å, b = 5.0423 Å, c = 7.1267 Å
α = 110.72°, β = 84.92°, γ = 90.00°
Each line ends with the local moment (μB).
Positions (direct):
Mn1 0.0000 0.0000 0.0000  3.66
Zn1 0.5986 0.3392 0.1856  -0.01
Zn2 0.4014 0.1536 0.8144  -0.01
Zn3 0.8412 0.7718 0.5435  0.01
Zn4 0.1588 0.2282 0.4565  0.01
Zn5 0.5986 0.8464 0.1856  -0.01
Zn6 0.4014 0.6608 0.8144  -0.01
Zn7 0.1385 0.5714 0.1428  -0.01
Zn8 0.8615 0.4286 0.8572  -0.01
Ir1 0.3408 0.7387 0.4774  0.06
Ir2 0.6592 0.2613 0.5226  0.06

Values from the calculation:
As for the formation energy from the elements: 0.004 eV per atom. Its total magnetic moment is 3.91 μB per formula unit. The density of states at the Fermi level comes out at 5.52 states/eV per cell.

***

(4)
Compound: MnZnIr
Source: Alexandria via LeMat-Bulk
Functional: GGA-PBE
Structure: relaxed

a = 6.8670 Å, b = 6.6281 Å, c = 2.7154 Å
α = 83.38°, β = 73.49°, γ = 23.13°
Each line ends with the local moment (μB).
Positions (direct):
Ir1 0.9966 0.9966 0.0034  0.25
Mn1 0.3351 0.3351 0.6649  3.20
Zn1 0.6683 0.6683 0.3317  -0.03

Values from the calculation:
As for the formation energy from the elements: 0.046 eV per atom. Its total magnetic moment is 3.54 μB per formula unit. The density of states at the Fermi level comes out at 2.36 states/eV per cell.

***

(5)
Compound: Mn2ZnIr
Source: Alexandria via LeMat-Bulk
Functional: GGA-PBE
Structure: relaxed

a = 3.7605 Å, b = 3.7598 Å, c = 3.7884 Å
α = 90.00°, β = 90.00°, γ = 90.00°
Each line ends with the local moment (μB).
Positions (direct):
Ir1 0.0000 0.5000 0.5000  0.23
Mn1 0.0000 0.0000 0.0000  2.72
Mn2 0.5000 0.5000 0.0000  2.72
Zn1 0.5000 0.0000 0.5000  -0.03

Values from the calculation:
As for the formation energy from the elements: -0.018 eV per atom. Its total magnetic moment is 5.83 μB per formula unit. The density of states at the Fermi level comes out at 4.22 states/eV per cell.

***

(6)
Compound: Mn2ZnIr
Source: Alexandria via LeMat-Bulk
Functional: GGA-PBE
Structure: relaxed

a = 2.6744 Å, b = 2.6744 Å, c = 7.3367 Å
α = 90.00°, β = 90.00°, γ = 90.00°
Each line ends with the local moment (μB).
Positions (direct):
Ir1 0.5000 0.5000 0.7500  -0.31
Mn1 0.0000 0.0000 0.9946  2.07
Mn2 0.0000 0.0000 0.5054  2.07
Zn1 0.5000 0.5000 0.2500  -0.06

Values from the calculation:
As for the formation energy from the elements: -0.022 eV per atom. Its total magnetic moment is 3.88 μB per formula unit. The density of states at the Fermi level comes out at 3.51 states/eV per cell.